A plane-wave DFT calculation with PBE was carried out for a relaxed structure of Cu2SnPt5.

formation enthalpy at 0 K: -0.26 eV per atom
E_tot: -44.45 eV per formula unit
calculated volume: 15.4 Å³/atom
size of the total moment: 0.00 Bohr magnetons per cell

Cell lengths 5.595, 10.966, 4.029 Å; angles 90.00, 90.00, 90.00 degrees
Space group Pbam (No. 55)
Unique sites:
Cu (0.218, 0.134, 0.000) x4
Sn (0.000, 0.500, 0.500) x2
Pt (0.000, 0.000, 0.500) x2
Pt (0.027, 0.746, 0.500) x4
Pt (0.236, 0.380, 0.000) x4

A plane-wave DFT calculation with PBE was carried out for a relaxed structure of Cu3SnPt.

ΔE to the lowest computed polymorph: 0.5007 eV per atom
formation enthalpy at 0 K: 1.09 eV per atom
E_tot: -16.88 eV per formula unit
calculated volume: 20.7 Å³/atom
size of the total moment: 0.00 Bohr magnetons per cell

Cell lengths 4.696, 4.696, 4.696 Å; angles 90.00, 90.00, 90.00 degrees
Space group Pm-3m (No. 221)
Unique sites:
Cu (0.000, 0.000, 0.500) x3
Sn (0.000, 0.000, 0.000) x1
Pt (0.500, 0.500, 0.500) x1

A plane-wave DFT calculation with PBE was carried out for a relaxed structure of Cu2SnPt.

formation enthalpy at 0 K: 0.08 eV per atom
E_tot: -17.91 eV per formula unit
calculated volume: 17.0 Å³/atom
size of the total moment: 0.00 Bohr magnetons per cell

Cell lengths 7.220, 7.220, 5.216 Å; angles 90.00, 90.00, 90.00 degrees
Space group I-42d (No. 122)
Unique sites:
Cu (0.237, 0.250, 0.125) x8
Sn (0.000, 0.000, 0.500) x4
Pt (0.000, 0.000, 0.000) x4